VASP calculation (PBE-GGA) on a relaxed structure of KScSb2.

Summary:
SG = P4/mmm, No. 123
Formation energy (no corrections) = -0.2430 eV per atom
E above lowest polymorph = 333.0 meV per atom
Size of the total moment = 0.00 μB per formula unit
Total energy = -4.1615 eV per atom

a b c (Å): 5.0838 5.0838 4.2763
angles (deg): 90.00 90.00 90.00
Closest atoms and distances in Å follow each position.
Fractional positions:
K 0.0000 0.0000 0.0000  8 Sb 3.32, 4 Sc 3.59
Sc 0.5000 0.5000 0.0000  8 Sb 3.32, 4 K 3.59
Sb 0.0000 0.5000 0.5000  4 K 3.32, 4 Sc 3.32, 4 Sb 3.59
Sb 0.5000 0.0000 0.5000  4 K 3.32, 4 Sc 3.32, 4 Sb 3.59